Here is an optimized crystal structure of TbSm2Y6Er2 from the Alexandria database. Energies are from GGA-PBE.

abc: 6.650 6.650 12.033
angles: 101.58 101.58 129.54
Sites, in units of the cell vectors:
Y 0.707 0.707 0.706
Y 0.864 0.557 0.211
Y 0.557 0.864 0.211
Y 0.443 0.136 0.789
Y 0.136 0.443 0.789
Y 0.293 0.293 0.294
Er 0.704 0.296 0.500
Er 0.296 0.704 0.500
Sm 0.865 0.135 0.000
Sm 0.135 0.865 0.000
Tb 0.000 0.000 0.500



Here is an optimized crystal structure of Tb3Sm2Y6Er from the Alexandria database. Energies are from GGA-PBE.

abc: 6.186 6.186 11.829
angles: 94.98 94.98 119.95
Sites, in units of the cell vectors:
Y 0.084 0.417 0.251
Y 0.751 0.751 0.251
Y 0.916 0.583 0.749
Y 0.583 0.916 0.749
Y 0.249 0.249 0.749
Y 0.417 0.084 0.251
Sm 0.333 0.667 0.000
Sm 0.667 0.333 0.000
Er 0.000 0.000 0.000
Tb 0.833 0.167 0.500
Tb 0.500 0.500 0.500
Tb 0.167 0.833 0.500



Here is an optimized crystal structure of Tb3Sm2YEr6 from the Alexandria database. Energies are from GGA-PBE.

abc: 6.142 6.142 11.727
angles: 94.99 94.99 119.96
Sites, in units of the cell vectors:
Tb 0.833 0.167 0.500
Tb 0.500 0.500 0.500
Tb 0.167 0.833 0.500
Sm 0.333 0.667 0.000
Sm 0.667 0.333 0.000
Er 0.582 0.916 0.749
Er 0.916 0.582 0.749
Er 0.249 0.249 0.748
Er 0.751 0.751 0.252
Er 0.084 0.418 0.251
Er 0.418 0.084 0.251
Y 0.000 0.000 0.000



Here is an optimized crystal structure of Tb2Sm5YEr from the Alexandria database. Energies are from GGA-PBE.

abc: 5.633 10.468 10.694
angles: 90.00 90.00 105.61
Sites, in units of the cell vectors:
Sm 0.017 0.034 0.020
Sm 0.612 0.224 0.522
Sm 0.701 0.402 0.208
Sm 0.481 0.963 0.742
Sm 0.719 0.438 0.810
Sm 0.519 0.037 0.242
Sm 0.388 0.776 0.022
Sm 0.281 0.562 0.310
Sm 0.299 0.598 0.708
Sm 0.983 0.966 0.520
Er 0.410 0.820 0.461
Er 0.590 0.180 0.961
Tb 0.115 0.230 0.315
Tb 0.111 0.223 0.737
Tb 0.889 0.777 0.237
Tb 0.885 0.770 0.815
Y 0.200 0.400 0.011
Y 0.800 0.600 0.511



Here is an optimized crystal structure of Tb2SmY2Er2 from the Alexandria database. Energies are from GGA-PBE.

abc: 5.027 6.171 14.694
angles: 140.45 90.00 114.04
Sites, in units of the cell vectors:
Er 0.428 0.855 0.070
Er 0.572 0.145 0.930
Y 0.141 0.282 0.355
Y 0.859 0.718 0.645
Tb 0.716 0.432 0.788
Tb 0.284 0.568 0.212
Sm 0.000 0.000 0.500



Here is an optimized crystal structure of Tb4Sm2Y2Er from the Alexandria database. Energies are from GGA-PBE.

abc: 3.604 9.529 9.581
angles: 115.24 90.00 100.90
Sites, in units of the cell vectors:
Tb 0.519 0.037 0.333
Tb 0.185 0.370 0.334
Tb 0.481 0.963 0.667
Tb 0.815 0.630 0.666
Y 0.147 0.295 0.665
Y 0.853 0.705 0.335
Sm 0.666 0.331 0.000
Sm 0.334 0.669 0.000
Er 0.000 0.000 0.000



Asked for ΔH_f (0 K) across the records above, the calculation gives 148; 18; 19; 144; 21; -1 meV per atom in order.